MnZnF4 | PBE+U | optimized geometry

abc: 5.3510 4.8866 5.8546
angles: 90.00 90.00 90.00
With the nearest neighbours (Å) after each atom.
Atoms (fractional coordinates):
Mn 0.0000 0.0000 0.0000  6 F 2.11-2.18
Mn 0.0000 0.5000 0.5000  6 F 2.11-2.18
Zn 0.5000 0.0000 0.3299  6 F 2.04-2.16
Zn 0.5000 0.5000 0.8299  6 F 2.04-2.16
F 0.1772 0.2194 0.2803  1 Zn 2.05, 2 Mn 2.11-2.18
F 0.1772 0.2806 0.7803  1 Zn 2.05, 2 Mn 2.11-2.18
F 0.3370 0.7361 0.5562  2 Zn 2.04-2.16, 1 Mn 2.17
F 0.3370 0.7639 0.0562  2 Zn 2.04-2.16, 1 Mn 2.17
F 0.6630 0.2361 0.0562  2 Zn 2.04-2.16, 1 Mn 2.17
F 0.6630 0.2639 0.5562  2 Zn 2.04-2.16, 1 Mn 2.17
F 0.8228 0.7194 0.7803  1 Zn 2.05, 2 Mn 2.11-2.18
F 0.8228 0.7806 0.2803  1 Zn 2.05, 2 Mn 2.11-2.18

## Properties
Calculated density ... 4.259 g/cm³
D(E_F) ... 0.00 states/eV/atom
VASP energy ... -0.19114 hartree per atom
Size of the total moment ... 0.833 μB per atom